Entry 1:
Here is an optimized crystal structure of ScTc2Ru from the Alexandria database. Energies are from PBE-GGA.

abc: 2.763 2.763 8.288
angles: 90.00 90.00 90.00
Fractional positions:
Sc: 0.000 0.000 0.000
Tc: 0.500 0.500 0.275
Tc: 0.500 0.500 0.725
Ru: 0.000 0.000 0.500

Calculated values
The calculation puts the total magnetic moment at 0.00 Bohr magnetons per cell. The value obtained for the formation energy from the elements is 0.065 eV per atom. The density of states at the Fermi level comes out at 4.049 states/eV/f.u. Its energy above the most stable polymorph in this dataset is 183 meV per atom. The space-group type is P4/mmm (123).



Entry 2:
Here is an optimized crystal structure of Co2BiCCl from the Alexandria database. Energies are from PBE-GGA.

abc: 5.123 5.123 4.560
angles: 90.00 90.00 90.00
Fractional positions:
Co: 0.000 0.500 0.000
Co: 0.500 0.000 0.000
Bi: 0.000 0.000 0.000
C: 0.000 0.000 0.500
Cl: 0.500 0.500 0.500

Calculated values
The calculation puts the total magnetic moment at 3.24 Bohr magnetons per cell. The density of states at the Fermi level comes out at 9.417 states/eV/f.u. The space-group type is P4/mmm (123).



Entry 3:
Here is an optimized crystal structure of ZrScTl2 from the Alexandria database. Energies are from PBE-GGA.

abc: 6.872 6.872 6.872
angles: 152.73 131.54 56.50
Fractional positions:
Zr: 0.000 0.000 0.000
Sc: 0.500 0.500 0.000
Tl: 0.251 0.251 0.000
Tl: 0.749 0.749 0.000

Calculated values
The calculation puts the total magnetic moment at 0.00 Bohr magnetons per cell. The value obtained for the formation energy from the elements is 0.362 eV per atom. The density of states at the Fermi level comes out at 5.432 states/eV/f.u. The space-group type is Immm (71).



Entry 4:
Here is an optimized crystal structure of Nd2InCo from the Alexandria database. Energies are from PBE-GGA.

abc: 3.585 3.585 7.829
angles: 90.00 90.00 90.00
Fractional positions:
Nd: 0.000 0.000 0.215
Nd: 0.000 0.000 0.785
In: 0.500 0.500 0.500
Co: 0.500 0.500 0.000

Calculated values
The calculation puts the total magnetic moment at 0.73 Bohr magnetons per cell. The value obtained for the formation energy from the elements is -0.204 eV per atom. The density of states at the Fermi level comes out at 2.488 states/eV/f.u. Its energy above the most stable polymorph in this dataset is 0 meV per atom. The space-group type is P4/mmm (123).



Entry 5:
Here is an optimized crystal structure of ZrBeCuRh from the Alexandria database. Energies are from PBE-GGA.

abc: 4.360 4.360 4.360
angles: 60.00 60.00 60.00
Fractional positions:
Zr: 0.000 0.000 0.000
Be: 0.500 0.500 0.500
Cu: 0.250 0.250 0.250
Rh: 0.750 0.750 0.750

Calculated values
The calculation puts the total magnetic moment at 0.00 Bohr magnetons per cell. The value obtained for the formation energy from the elements is -0.278 eV per atom. The density of states at the Fermi level comes out at 2.571 states/eV/f.u. The space-group type is F-43m (216).



Entry 6:
Here is an optimized crystal structure of Tb3ScGa12 from the Alexandria database. Energies are from PBE-GGA.

abc: 4.246 4.246 17.024
angles: 90.00 90.00 90.00
Fractional positions:
Tb: 0.000 0.000 0.000
Tb: 0.000 0.000 0.255
Tb: 0.000 0.000 0.745
Sc: 0.000 0.000 0.500
Ga: 0.000 0.500 0.127
Ga: 0.000 0.500 0.382
Ga: 0.000 0.500 0.618
Ga: 0.000 0.500 0.873
Ga: 0.500 0.000 0.127
Ga: 0.500 0.000 0.382
Ga: 0.500 0.000 0.618
Ga: 0.500 0.000 0.873
Ga: 0.500 0.500 0.000
Ga: 0.500 0.500 0.251
Ga: 0.500 0.500 0.500
Ga: 0.500 0.500 0.749

Calculated values
The calculation puts the total magnetic moment at 0.00 Bohr magnetons per cell. The value obtained for the formation energy from the elements is -0.523 eV per atom. The density of states at the Fermi level comes out at 9.035 states/eV/f.u. The space-group type is P4/mmm (123).



Entry 7:
Here is an optimized crystal structure of CdPbBr2 from the Alexandria database. Energies are from PBE-GGA.

abc: 5.177 5.177 4.370
angles: 90.00 90.00 90.00
Fractional positions:
Cd: 0.000 0.000 0.000
Pb: 0.500 0.500 0.000
Br: 0.000 0.500 0.500
Br: 0.500 0.000 0.500

Calculated values
The calculation puts the total magnetic moment at 0.00 Bohr magnetons per cell. The density of states at the Fermi level comes out at 1.844 states/eV/f.u. Its energy above the most stable polymorph in this dataset is 212 meV per atom. The space-group type is P4/mmm (123).



Entry 8:
Here is an optimized crystal structure of Pa6In from the Alexandria database. Energies are from PBE-GGA.

abc: 6.676 6.676 6.676
angles: 109.47 109.47 109.47
Fractional positions:
Pa: 0.250 0.500 0.750
Pa: 0.250 0.750 0.500
Pa: 0.500 0.250 0.750
Pa: 0.500 0.750 0.250
Pa: 0.750 0.250 0.500
Pa: 0.750 0.500 0.250
In: 0.000 0.000 0.000

Calculated values
The calculation puts the total magnetic moment at 7.06 Bohr magnetons per cell. The value obtained for the formation energy from the elements is 1.591 eV per atom. The density of states at the Fermi level comes out at 23.502 states/eV/f.u. The space-group type is Im-3m (229).



Entry 9:
Here is an optimized crystal structure of Ho4Er9Tl11 from the Alexandria database. Energies are from PBE-GGA.

abc: 13.971 13.971 3.558
angles: 90.00 90.00 109.74
Fractional positions:
Ho: 0.086 0.248 0.000
Ho: 0.248 0.086 0.000
Ho: 0.752 0.914 0.000
Ho: 0.914 0.752 0.000
Er: 0.000 0.000 0.000
Er: 0.114 0.659 0.000
Er: 0.297 0.484 0.000
Er: 0.341 0.886 0.000
Er: 0.484 0.297 0.000
Er: 0.516 0.703 0.000
Er: 0.659 0.114 0.000
Er: 0.703 0.516 0.000
Er: 0.886 0.341 0.000
Tl: 0.090 0.449 0.500
Tl: 0.123 0.877 0.500
Tl: 0.287 0.287 0.500
Tl: 0.314 0.686 0.500
Tl: 0.449 0.090 0.500
Tl: 0.500 0.500 0.500
Tl: 0.551 0.910 0.500
Tl: 0.686 0.314 0.500
Tl: 0.713 0.713 0.500
Tl: 0.877 0.123 0.500
Tl: 0.910 0.551 0.500

Calculated values
The calculation puts the total magnetic moment at 0.00 Bohr magnetons per cell. The value obtained for the formation energy from the elements is -0.242 eV per atom. The density of states at the Fermi level comes out at 20.643 states/eV/f.u. The space-group type is Cmmm (65).



Entry 10:
Here is an optimized crystal structure of LaAl2InPd4 from the Alexandria database. Energies are from PBE-GGA.

abc: 9.660 9.660 9.660
angles: 25.99 25.99 25.99
Fractional positions:
La: 0.000 0.000 0.000
Al: 0.242 0.242 0.242
Al: 0.758 0.758 0.758
In: 0.500 0.500 0.500
Pd: 0.123 0.123 0.123
Pd: 0.401 0.401 0.401
Pd: 0.599 0.599 0.599
Pd: 0.877 0.877 0.877

Calculated values
The calculation puts the total magnetic moment at 0.00 Bohr magnetons per cell. The value obtained for the formation energy from the elements is -0.721 eV per atom. The density of states at the Fermi level comes out at 3.758 states/eV/f.u. The space-group type is R-3m (166).



Entry 11:
Here is an optimized crystal structure of TlBiIO6 from the Alexandria database. Energies are from PBE-GGA.

abc: 5.711 5.711 5.789
angles: 90.00 90.00 120.00
Fractional positions:
Tl: 0.000 0.000 0.000
Bi: 0.333 0.667 0.500
I: 0.667 0.333 0.500
O: 0.406 0.046 0.694
O: 0.406 0.360 0.306
O: 0.640 0.046 0.306
O: 0.640 0.594 0.694
O: 0.954 0.360 0.694
O: 0.954 0.594 0.306

Calculated values
The calculation puts the total magnetic moment at 0.71 Bohr magnetons per cell. The density of states at the Fermi level comes out at 4.120 states/eV/f.u. The space-group type is P312 (149).



Entry 12:
Here is an optimized crystal structure of SrBeNbTl2 from the Alexandria database. Energies are from PBE-GGA.

abc: 5.013 5.013 4.815
angles: 90.00 90.00 90.00
Fractional positions:
Sr: 0.000 0.000 0.000
Be: 0.500 0.500 0.500
Nb: 0.500 0.500 0.000
Tl: 0.000 0.500 0.500
Tl: 0.500 0.000 0.500

Calculated values
The calculation puts the total magnetic moment at 1.32 Bohr magnetons per cell. The value obtained for the formation energy from the elements is 0.474 eV per atom. The density of states at the Fermi level comes out at 2.466 states/eV/f.u. The space-group type is P4/mmm (123).



Number 1: energy -36.08 eV/cell. Number 2: energy -19.43 eV/cell. Number 3: energy -18.16 eV/cell. Number 4: energy -20.19 eV/cell. Number 5: energy -24.83 eV/cell. Number 6: energy -64.91 eV/cell. Number 7: energy -9.27 eV/cell. Number 8: energy -48.57 eV/cell. Number 9: energy -91.20 eV/cell. Number 10: energy -41.69 eV/cell. Number 11: energy -42.55 eV/cell. Number 12: energy -17.84 eV/cell.